Entry 1:
Here is an optimized crystal structure of Pr2CuH6Pd from Alexandria. Energies are from PBE.

Cell: 5.492 5.492 5.492 Å, 124.47 124.47 82.42°
Fractional positions:
1 Pr 0.000 0.500 0.500
2 Pr 0.500 0.000 0.500
3 Cu 0.252 0.252 0.000
4 H 0.035 0.035 0.506
5 H 0.035 0.529 0.000
6 H 0.045 0.045 0.000
7 H 0.514 0.514 0.000
8 H 0.529 0.035 0.000
9 H 0.529 0.529 0.494
10 Pd 0.737 0.737 0.000

Computed properties:
total moment	0.0	μB/f.u.
space-group type	I4mm, No. 107
electronic total energy	-4.28	eV/atom
D(E_F)	0.3093	states/eV per atom



Entry 2:
Here is an optimized crystal structure of Zr6OsRu from Alexandria. Energies are from PBE.

Cell: 4.662 4.662 14.939 Å, 90.00 90.00 90.00°
Fractional positions:
1 Zr 0.000 0.000 0.249
2 Zr 0.000 0.000 0.751
3 Zr 0.000 0.500 0.109
4 Zr 0.000 0.500 0.391
5 Zr 0.000 0.500 0.609
6 Zr 0.000 0.500 0.891
7 Zr 0.500 0.000 0.109
8 Zr 0.500 0.000 0.391
9 Zr 0.500 0.000 0.609
10 Zr 0.500 0.000 0.891
11 Zr 0.500 0.500 0.251
12 Zr 0.500 0.500 0.749
13 Os 0.000 0.000 0.000
14 Os 0.500 0.500 0.500
15 Ru 0.000 0.000 0.500
16 Ru 0.500 0.500 0.000

Computed properties:
total moment	0.0	μB/f.u.
space-group type	I4/mmm, No. 139
electronic total energy	-9.25	eV/atom
D(E_F)	1.1347	states/eV per atom



Entry 3:
Here is an optimized crystal structure of Rb2NpZn2Te4 from Alexandria. Energies are from PBE.

Cell: 8.575 8.575 8.677 Å, 107.11 107.11 31.12°
Fractional positions:
1 Rb 0.131 0.131 0.057
2 Rb 0.869 0.869 0.943
3 Np 0.000 0.000 0.500
4 Zn 0.332 0.332 0.512
5 Zn 0.668 0.668 0.488
6 Te 0.205 0.205 0.669
7 Te 0.485 0.485 0.742
8 Te 0.515 0.515 0.258
9 Te 0.795 0.795 0.331

Computed properties:
total moment	4.7	μB/f.u.
formation energy (no corrections)	-64	kJ/mol of atoms
space-group type	C2/m, No. 12
electronic total energy	-4.00	eV/atom
D(E_F)	1.1413	states/eV per atom